# 1
A relaxed Ac6Tl2CoBr3 crystal, computed with GGA-PBE.

a b c (Å): 7.859 7.859 8.125
angles (deg): 100.19 100.19 114.38
Atoms (fractional coordinates):
Ac 0.068 0.371 0.709
Ac 0.195 0.195 0.254
Ac 0.371 0.068 0.709
Ac 0.629 0.932 0.291
Ac 0.805 0.805 0.746
Ac 0.932 0.629 0.291
Tl 0.356 0.644 0.500
Tl 0.644 0.356 0.500
Co 0.000 0.000 0.500
Br 0.194 0.806 0.000
Br 0.500 0.500 0.000
Br 0.806 0.194 0.000

=====

# 2
A relaxed Ac4ZnCoBr2 crystal, computed with GGA-PBE.

a b c (Å): 7.812 4.322 8.568
angles (deg): 90.00 107.23 90.00
Atoms (fractional coordinates):
Ac 0.221 0.000 0.194
Ac 0.229 0.500 0.797
Ac 0.771 0.500 0.203
Ac 0.779 0.000 0.806
Zn 0.500 0.000 0.000
Co 0.000 0.500 0.000
Br 0.000 0.000 0.500
Br 0.500 0.500 0.500

=====

no.,M_tot (μB per cell),formation energy (no corrections) (meV per atom)
1,0.00,-740
2,0.00,-711